PBE-GGA Pm4GaTeI2, optimized geometry; SG = P2/m, No. 10; E_tot = -4.5111 eV/atom; ΔE_f (raw) = -0.977 eV/atom; calculated density = 6.630 g cm⁻³
1.0
7.770 0.000 0.000
0.000 4.424 0.000
-2.564 0.000 7.514
Pm Ga Te I
4 1 1 2
Direct
0.213 0.000 0.203
0.238 0.500 0.790
0.762 0.500 0.210
0.787 0.000 0.797
0.000 0.500 0.000
0.500 0.000 0.000
0.000 0.000 0.500
0.500 0.500 0.500